(1)
# Mn4TeRh, optimized geometry, DFT PBE
data_Mn4TeRh
_cell_length_a 6.985
_cell_length_b 6.985
_cell_length_c 6.985
_cell_angle_alpha 90.00
_cell_angle_beta 90.00
_cell_angle_gamma 90.00
_symmetry_space_group_name_H-M 'F -4 3 m'
_symmetry_Int_Tables_number 216
_symmetry_space_group_name_Hall 'F -4 2 3'
loop_
_atom_site_label
_atom_site_type_symbol
_atom_site_fract_x
_atom_site_fract_y
_atom_site_fract_z
Mn1 Mn 0.125 0.125 0.125
Te1 Te 0.000 0.000 0.500
Rh1 Rh 0.250 0.250 0.750
# Mass density = 8.774 g cm⁻³
# Total magnetic moment = 40.35 μB per cell
# ΔE_f (raw) = 350 meV per atom

(2)
# BaMoCl, optimized geometry, DFT PBE
data_BaMoCl
_cell_length_a 7.413
_cell_length_b 4.283
_cell_length_c 12.831
_cell_angle_alpha 90.00
_cell_angle_beta 92.43
_cell_angle_gamma 90.00
_symmetry_space_group_name_H-M 'C 1 2/m 1'
_symmetry_Int_Tables_number 12
_symmetry_space_group_name_Hall '-C 2y'
loop_
_atom_site_label
_atom_site_type_symbol
_atom_site_fract_x
_atom_site_fract_y
_atom_site_fract_z
Ba1 Ba 0.017 0.000 0.225
Mo1 Mo 0.167 0.500 0.000
Cl1 Cl 0.193 0.500 0.360
# Mass density = 4.385 g cm⁻³
# Total magnetic moment = 2.10 μB per cell
# Energy above the most stable polymorph in this dataset = 0 meV per atom
# ΔE_f (raw) = -633 meV per atom

(3)
# ThMg2Pd8, optimized geometry, DFT PBE
data_ThMg2Pd8
_cell_length_a 4.298
_cell_length_b 6.992
_cell_length_c 12.743
_cell_angle_alpha 90.00
_cell_angle_beta 90.00
_cell_angle_gamma 90.00
_symmetry_space_group_name_H-M 'I m m m'
_symmetry_Int_Tables_number 71
_symmetry_space_group_name_Hall '-I 2 2'
loop_
_atom_site_label
_atom_site_type_symbol
_atom_site_fract_x
_atom_site_fract_y
_atom_site_fract_z
Th1 Th 0.000 0.000 0.000
Mg1 Mg 0.000 0.000 0.310
Pd1 Pd 0.000 0.201 0.500
Pd2 Pd 0.000 0.282 0.160
Pd3 Pd 0.000 0.500 0.343
# Mass density = 9.818 g cm⁻³
# Total magnetic moment = 0.00 μB per cell
# Energy above the most stable polymorph in this dataset = 48 meV per atom
# Formation energy = -0.61 eV/atom

(4)
# PmAl2Au3, optimized geometry, DFT PBE
data_PmAl2Au3
_cell_length_a 4.4575
_cell_length_b 4.4575
_cell_length_c 13.8619
_cell_angle_alpha 90.00
_cell_angle_beta 90.00
_cell_angle_gamma 120.00
_symmetry_space_group_name_H-M 'P 63/m m c'
_symmetry_Int_Tables_number 194
_symmetry_space_group_name_Hall '-P 6c 2c'
loop_
_atom_site_label
_atom_site_type_symbol
_atom_site_fract_x
_atom_site_fract_y
_atom_site_fract_z
Pm1 Pm 0.0000 0.0000 0.2500
Al1 Al 0.3333 0.6667 0.0800
Au1 Au 0.0000 0.0000 0.0000
Au2 Au 0.3333 0.6667 0.6232
# Mass density = 10.997 g cm⁻³
# Total magnetic moment = 0.00 μB per cell
# Energy above the most stable polymorph in this dataset = 9 meV per atom
# Formation energy = -0.62 eV/atom

(5)
# Sm2Pd3Au2, optimized geometry, DFT PBE
data_Sm2Pd3Au2
_cell_length_a 8.470
_cell_length_b 8.470
_cell_length_c 8.470
_cell_angle_alpha 90.00
_cell_angle_beta 90.00
_cell_angle_gamma 90.00
_symmetry_space_group_name_H-M 'I 21 3'
_symmetry_Int_Tables_number 199
_symmetry_space_group_name_Hall 'I 2b 2c 3'
loop_
_atom_site_label
_atom_site_type_symbol
_atom_site_fract_x
_atom_site_fract_y
_atom_site_fract_z
Sm1 Sm 0.001 0.499 0.501
Pd1 Pd 0.000 0.250 0.234
Au1 Au 0.192 0.308 0.692
# Mass density = 11.082 g cm⁻³
# Total magnetic moment = 0.00 μB per cell
# Energy above the most stable polymorph in this dataset = 51 meV per atom
# Formation energy = -0.60 eV/atom

(6)
# Ca2Zn5Ru, optimized geometry, DFT PBE
data_Ca2Zn5Ru
_cell_length_a 5.933
_cell_length_b 5.933
_cell_length_c 8.470
_cell_angle_alpha 90.00
_cell_angle_beta 90.00
_cell_angle_gamma 90.00
_symmetry_space_group_name_H-M 'I 4 m m'
_symmetry_Int_Tables_number 107
_symmetry_space_group_name_Hall 'I 4 -2'
loop_
_atom_site_label
_atom_site_type_symbol
_atom_site_fract_x
_atom_site_fract_y
_atom_site_fract_z
Ca1 Ca 0.000 0.500 0.000
Zn1 Zn 0.000 0.000 0.497
Zn2 Zn 0.249 0.249 0.750
Ru1 Ru 0.000 0.000 0.000
# Mass density = 5.661 g cm⁻³
# Total magnetic moment = 0.00 μB per cell
# Formation energy = 0.02 eV/atom

(7)
# BaSrTeO6, optimized geometry, DFT PBE
data_BaSrTeO6
_cell_length_a 6.0377
_cell_length_b 6.0377
_cell_length_c 5.4260
_cell_angle_alpha 90.00
_cell_angle_beta 90.00
_cell_angle_gamma 120.00
_symmetry_space_group_name_H-M 'P 3 1 2'
_symmetry_Int_Tables_number 149
_symmetry_space_group_name_Hall 'P 3 2'
loop_
_atom_site_label
_atom_site_type_symbol
_atom_site_fract_x
_atom_site_fract_y
_atom_site_fract_z
Ba1 Ba 0.0000 0.0000 0.0000
Sr1 Sr 0.3333 0.6667 0.5000
Te1 Te 0.6667 0.3333 0.5000
O1 O 0.3952 0.0712 0.7000
# Mass density = 4.348 g cm⁻³
# Total magnetic moment = 2.00 μB per cell
# ΔE_f (raw) = -1641 meV per atom

(8)
# SmTm12Ni6, optimized geometry, DFT PBE
data_SmTm12Ni6
_cell_length_a 9.708
_cell_length_b 9.708
_cell_length_c 9.708
_cell_angle_alpha 90.00
_cell_angle_beta 90.00
_cell_angle_gamma 90.00
_symmetry_space_group_name_H-M 'I m -3'
_symmetry_Int_Tables_number 204
_symmetry_space_group_name_Hall '-I 2 2 3'
loop_
_atom_site_label
_atom_site_type_symbol
_atom_site_fract_x
_atom_site_fract_y
_atom_site_fract_z
Sm1 Sm 0.000 0.000 0.000
Tm1 Tm 0.000 0.310 0.184
Ni1 Ni 0.000 0.124 0.500
# Mass density = 9.182 g cm⁻³
# Total magnetic moment = 0.01 μB per cell
# Formation energy = -0.26 eV/atom

(9)
# SrAuBr2, optimized geometry, DFT PBE
data_SrAuBr2
_cell_length_a 7.616
_cell_length_b 7.616
_cell_length_c 7.616
_cell_angle_alpha 90.00
_cell_angle_beta 90.00
_cell_angle_gamma 90.00
_symmetry_space_group_name_H-M 'F m -3 m'
_symmetry_Int_Tables_number 225
_symmetry_space_group_name_Hall '-F 4 2 3'
loop_
_atom_site_label
_atom_site_type_symbol
_atom_site_fract_x
_atom_site_fract_y
_atom_site_fract_z
Sr1 Sr 0.000 0.000 0.000
Au1 Au 0.000 0.000 0.500
Br1 Br 0.250 0.250 0.250
# Mass density = 6.681 g cm⁻³
# Total magnetic moment = 0.00 μB per cell
# Energy above the most stable polymorph in this dataset = 105 meV per atom
# ΔE_f (raw) = -995 meV per atom

(10)
# NpPaPtAu, optimized geometry, DFT PBE
data_NpPaPtAu
_cell_length_a 7.112
_cell_length_b 7.112
_cell_length_c 7.112
_cell_angle_alpha 90.00
_cell_angle_beta 90.00
_cell_angle_gamma 90.00
_symmetry_space_group_name_H-M 'F -4 3 m'
_symmetry_Int_Tables_number 216
_symmetry_space_group_name_Hall 'F -4 2 3'
loop_
_atom_site_label
_atom_site_type_symbol
_atom_site_fract_x
_atom_site_fract_y
_atom_site_fract_z
Np1 Np 0.000 0.000 0.000
Pa1 Pa 0.000 0.000 0.500
Pt1 Pt 0.250 0.250 0.250
Au1 Au 0.250 0.250 0.750
# Mass density = 15.878 g cm⁻³
# Total magnetic moment = 21.72 μB per cell
# Formation energy = -0.32 eV/atom

(11)
# SiRuI2F, optimized geometry, DFT PBE
data_SiRuI2F
_cell_length_a 5.398
_cell_length_b 5.398
_cell_length_c 4.567
_cell_angle_alpha 90.00
_cell_angle_beta 90.00
_cell_angle_gamma 90.00
_symmetry_space_group_name_H-M 'P 4/m m m'
_symmetry_Int_Tables_number 123
_symmetry_space_group_name_Hall '-P 4 2'
loop_
_atom_site_label
_atom_site_type_symbol
_atom_site_fract_x
_atom_site_fract_y
_atom_site_fract_z
Si1 Si 0.000 0.000 0.000
Ru1 Ru 0.000 0.000 0.500
I1 I 0.000 0.500 0.500
F1 F 0.500 0.500 0.000
# Mass density = 5.016 g cm⁻³
# Total magnetic moment = 0.14 μB per cell
# ΔE_f (raw) = 206 meV per atom

(12)
# ZnGaBr2Cl, optimized geometry, DFT PBE
data_ZnGaBr2Cl
_cell_length_a 4.852
_cell_length_b 4.852
_cell_length_c 10.292
_cell_angle_alpha 90.00
_cell_angle_beta 90.00
_cell_angle_gamma 90.00
_symmetry_space_group_name_H-M 'P 4/m m m'
_symmetry_Int_Tables_number 123
_symmetry_space_group_name_Hall '-P 4 2'
loop_
_atom_site_label
_atom_site_type_symbol
_atom_site_fract_x
_atom_site_fract_y
_atom_site_fract_z
Zn1 Zn 0.000 0.000 0.000
Ga1 Ga 0.000 0.000 0.500
Br1 Br 0.000 0.500 0.000
Cl1 Cl 0.500 0.500 0.500
# Mass density = 2.264 g cm⁻³
# Total magnetic moment = 0.00 μB per cell
# ΔE_f (raw) = -344 meV per atom